Material: Rb2LiScCl6
Method: DFT, GGA-PBEsol
State: relaxed

Lattice parameters (Å, degrees): 7.071 7.071 7.071 60.00 60.00 60.00
Element x y z (fractional)
Cl 0.753 0.753 0.247
Cl 0.247 0.753 0.247
Rb 0.750 0.750 0.750
Cl 0.247 0.247 0.753
Cl 0.753 0.247 0.753
Cl 0.247 0.753 0.753
Sc 0.000 0.000 0.000
Rb 0.250 0.250 0.250
Li 0.500 0.500 0.500
Cl 0.753 0.247 0.247

Summary:
- Symmetry: Fm-3m
- Formation energy from raw total energies: -20.463 eV/f.u.
- Size of the total moment: 0.00 μB/f.u.